## A
{"formula": "Ac3Ge4Os2", "functional": "PBE", "state": "relaxed", "lattice_angstrom": [[-1.3016, 0.4536, 4.0356], [-2.6876, -5.2108, -2.5344], [7.6605, -3.5559, 2.8705]], "species": ["Ac", "Ac", "Ac", "Ge", "Ge", "Ge", "Ge", "Os", "Os"], "fractional_positions": [[0.3343, 0.6687, 0.3475], [0.6657, 0.3313, 0.6525], [0.0000, 0.0000, 0.0000], [0.7312, 0.4624, 0.0779], [0.2688, 0.5376, 0.9221], [0.0546, 0.1092, 0.3747], [0.9454, 0.8908, 0.6253], [0.3928, 0.7856, 0.7271], [0.6072, 0.2144, 0.2729]], "sg": "C2/m (12)", "volume_a3_per_cell": 225.55, "dos_ef_per_ev_fu": 6.0}



## B
{"formula": "Ac3Ge4Os2", "functional": "PBE", "state": "relaxed", "lattice_angstrom": [[4.5039, 0.0000, 0.0000], [-2.2519, 5.9084, -0.1124], [0.0000, -2.5410, 8.2969]], "species": ["Ge", "Ge", "Ge", "Ge", "Ac", "Ac", "Ac", "Os", "Os"], "fractional_positions": [[0.2910, 0.5821, 0.9138], [0.8864, 0.7728, 0.6003], [0.7090, 0.4179, 0.0862], [0.1136, 0.2272, 0.3997], [0.0000, 0.0000, 0.0000], [0.3864, 0.7727, 0.3022], [0.6136, 0.2273, 0.6978], [0.6957, 0.3915, 0.3648], [0.3043, 0.6085, 0.6352]], "sg": "C2/m (12)", "volume_a3_per_cell": 219.50, "dos_ef_per_ev_fu": 5.7}



Which structure is the most stable? The one labeled B.



## A
{"formula": "AcGe2P", "functional": "PBE", "state": "relaxed", "lattice_angstrom": [[-4.6861, -0.8472, -0.7316], [-0.3376, -1.6282, 4.0484], [-0.9591, 3.9889, 1.5243]], "species": ["Ge", "Ge", "P", "Ac"], "fractional_positions": [[0.0000, 0.5000, 0.0000], [0.0000, 0.0000, 0.5000], [0.5000, 0.0000, 0.0000], [0.5000, 0.5000, 0.5000]], "sg": "P4/mmm (123)", "volume_a3_per_cell": 92.29, "dos_ef_per_ev_fu": 2.5}



## B
{"formula": "AcGe2P", "functional": "PBE", "state": "relaxed", "lattice_angstrom": [[-1.9490, -0.2663, 3.0125], [0.8990, -2.4083, 2.5173], [5.1961, 5.5216, 5.9983]], "species": ["P", "Ac", "Ge", "Ge"], "fractional_positions": [[0.5000, 0.5000, 0.5000], [0.0000, 0.0000, 0.0000], [0.1130, 0.1130, 0.6610], [0.8870, 0.8870, 0.3390]], "sg": "R-3m (166)", "volume_a3_per_cell": 105.85, "dos_ef_per_ev_fu": 2.3}



Which structure is the most stable? The one labeled A.



## A
{"formula": "Ac2GeP", "functional": "PBE", "state": "relaxed", "lattice_angstrom": [[5.4366, 0.0000, 0.0000], [2.7183, 4.7082, 0.0000], [2.7183, 1.5694, 4.4390]], "species": ["Ge", "P", "Ac", "Ac"], "fractional_positions": [[0.5000, 0.5000, 0.5000], [0.0000, 0.0000, 0.0000], [0.2500, 0.2500, 0.2500], [0.7500, 0.7500, 0.7500]], "sg": "Fm-3m (225)", "volume_a3_per_cell": 113.62, "dos_ef_per_ev_fu": 5.7}



## B
{"formula": "Ac2GeP", "functional": "PBE", "state": "relaxed", "lattice_angstrom": [[4.3464, 0.0000, 0.0000], [0.0000, 4.5017, -0.7996], [0.0000, -0.0659, 12.7017]], "species": ["P", "P", "Ge", "Ge", "Ac", "Ac", "Ac", "Ac"], "fractional_positions": [[0.2500, 0.1883, 0.3766], [0.7500, 0.8117, 0.6234], [0.2500, 0.4655, 0.9309], [0.7500, 0.5345, 0.0691], [0.7500, 0.6896, 0.3793], [0.7500, 0.9318, 0.8635], [0.2500, 0.3104, 0.6207], [0.2500, 0.0682, 0.1365]], "sg": "Cmcm (63)", "volume_a3_per_cell": 248.30, "dos_ef_per_ev_fu": 2.2}



## C
{"formula": "Ac2GeP", "functional": "PBE", "state": "relaxed", "lattice_angstrom": [[-2.2877, -1.4686, 3.4783], [1.6915, -3.1568, 2.5811], [3.1006, 3.8678, 6.4738]], "species": ["Ac", "Ac", "Ge", "P"], "fractional_positions": [[0.2555, 0.2555, 0.2334], [0.7445, 0.7445, 0.7666], [0.5000, 0.5000, 0.5000], [0.0000, 0.0000, 0.0000]], "sg": "R-3m (166)", "volume_a3_per_cell": 130.72, "dos_ef_per_ev_fu": 2.3}



Which structure is the most stable? The one labeled B.



## A
{"formula": "AcPaGe2", "functional": "PBE", "state": "relaxed", "lattice_angstrom": [[4.3596, 0.0000, 0.0000], [2.1798, 3.7755, 0.0000], [2.1798, 1.2585, 7.1218]], "species": ["Ge", "Ge", "Ac", "Pa"], "fractional_positions": [[0.2630, 0.2630, 0.2111], [0.7370, 0.7370, 0.7889], [0.5000, 0.5000, 0.5000], [0.0000, 0.0000, 0.0000]], "sg": "R-3m (166)", "volume_a3_per_cell": 117.22, "dos_ef_per_ev_fu": 2.5}



## B
{"formula": "AcPaGe2", "functional": "PBE", "state": "relaxed", "lattice_angstrom": [[-3.3402, -0.5831, 0.8476], [0.6818, -3.4109, 0.3405], [1.8097, 1.1527, 7.9242]], "species": ["Pa", "Ac", "Ge", "Ge"], "fractional_positions": [[0.5000, 0.5000, 0.0000], [0.5000, 0.5000, 0.5000], [0.0000, 0.0000, 0.2293], [0.0000, 0.0000, 0.7707]], "sg": "P4/mmm (123)", "volume_a3_per_cell": 100.28, "dos_ef_per_ev_fu": 4.9}



## C
{"formula": "AcPaGe2", "functional": "PBE", "state": "relaxed", "lattice_angstrom": [[5.2529, 0.0000, 0.0000], [2.6264, 4.5491, 0.0000], [2.6264, 1.5164, 4.2890]], "species": ["Ac", "Ge", "Ge", "Pa"], "fractional_positions": [[0.5000, 0.5000, 0.5000], [0.2500, 0.2500, 0.2500], [0.7500, 0.7500, 0.7500], [0.0000, 0.0000, 0.0000]], "sg": "Fm-3m (225)", "volume_a3_per_cell": 102.49, "dos_ef_per_ev_fu": 8.3}



Which structure is the most stable? The one labeled A.



## A
{"formula": "Ac3GePb2", "functional": "PBE", "state": "relaxed", "lattice_angstrom": [[-2.7542, 3.1462, 2.3222], [-8.4063, -9.6488, 3.1025], [6.9746, -2.3799, 11.4965]], "species": ["Ge", "Ge", "Ge", "Ge", "Pb", "Pb", "Pb", "Pb", "Pb", "Pb", "Pb", "Pb", "Ac", "Ac", "Ac", "Ac", "Ac", "Ac", "Ac", "Ac", "Ac", "Ac", "Ac", "Ac"], "fractional_positions": [[0.7500, 0.8706, 0.8761], [0.7500, 0.6294, 0.3761], [0.2500, 0.1294, 0.1239], [0.2500, 0.3706, 0.6239], [0.7500, 0.2986, 0.4976], [0.2500, 0.9969, 0.3089], [0.7500, 0.4969, 0.1911], [0.7500, 0.2014, 0.9976], [0.2500, 0.7014, 0.5024], [0.7500, 0.0031, 0.6911], [0.2500, 0.5031, 0.8089], [0.2500, 0.7986, 0.0024], [0.2500, 0.4523, 0.3847], [0.7500, 0.5477, 0.6153], [0.7500, 0.2084, 0.2657], [0.2500, 0.7916, 0.7343], [0.2500, 0.1205, 0.5546], [0.7500, 0.9523, 0.1153], [0.2500, 0.7084, 0.2343], [0.7500, 0.6205, 0.9454], [0.7500, 0.2916, 0.7657], [0.7500, 0.8795, 0.4454], [0.2500, 0.0477, 0.8847], [0.2500, 0.3795, 0.0546]], "sg": "Pnma (62)", "volume_a3_per_cell": 860.05, "dos_ef_per_ev_fu": 5.6}



## B
{"formula": "Ac3GePb2", "functional": "PBE", "state": "relaxed", "lattice_angstrom": [[-3.5723, 2.0276, 5.4065], [-6.8727, -2.7052, -3.5265], [4.6015, -7.6043, 1.6286]], "species": ["Ge", "Ge", "Pb", "Pb", "Pb", "Pb", "Ac", "Ac", "Ac", "Ac", "Ac", "Ac"], "fractional_positions": [[0.9559, 0.7500, 0.0000], [0.0441, 0.2500, 0.0000], [0.3516, 0.4104, 0.6512], [0.6484, 0.5896, 0.3488], [0.7004, 0.0896, 0.3488], [0.2996, 0.9104, 0.6512], [0.1730, 0.0728, 0.3007], [0.8723, 0.4272, 0.6993], [0.8270, 0.9272, 0.6993], [0.4724, 0.7500, 0.0000], [0.1277, 0.5728, 0.3007], [0.5276, 0.2500, 0.0000]], "sg": "C2/c (15)", "volume_a3_per_cell": 451.18, "dos_ef_per_ev_fu": 5.3}



Which structure is the most stable? The one labeled A.



## A
{"formula": "Ac4GePb2", "functional": "PBE", "state": "relaxed", "lattice_angstrom": [[5.8329, 0.0000, 0.0000], [0.0000, 5.8329, 0.0000], [-2.9165, -2.9165, 8.8530]], "species": ["Ac", "Ac", "Ac", "Ac", "Pb", "Pb", "Ge"], "fractional_positions": [[0.0000, 0.5000, 0.0000], [0.5000, 0.0000, 0.0000], [0.1785, 0.1785, 0.3571], [0.8215, 0.8215, 0.6429], [0.3701, 0.3701, 0.7402], [0.6299, 0.6299, 0.2598], [0.0000, 0.0000, 0.0000]], "sg": "I4/mmm (139)", "volume_a3_per_cell": 301.21, "dos_ef_per_ev_fu": 3.1}



## B
{"formula": "Ac4GePb2", "functional": "PBE", "state": "relaxed", "lattice_angstrom": [[5.0179, 0.0000, 0.0000], [0.0000, 9.5677, -0.9874], [-2.5090, -5.7644, 6.0480]], "species": ["Ac", "Ac", "Ac", "Ac", "Pb", "Pb", "Ge"], "fractional_positions": [[0.3244, 0.7212, 0.6488], [0.0824, 0.7963, 0.1649], [0.6756, 0.2788, 0.3512], [0.9176, 0.2037, 0.8351], [0.3612, 0.3828, 0.7224], [0.6388, 0.6172, 0.2776], [0.0000, 0.0000, 0.0000]], "sg": "C2/m (12)", "volume_a3_per_cell": 261.80, "dos_ef_per_ev_fu": 5.7}



Which structure is the most stable? The one labeled B.



## A
{"formula": "AcGePb2", "functional": "PBE", "state": "relaxed", "lattice_angstrom": [[4.1425, 0.0000, 0.0000], [0.0000, 4.1425, 0.0000], [0.0000, 0.0000, 7.0649]], "species": ["Ac", "Pb", "Pb", "Ge"], "fractional_positions": [[0.5000, 0.5000, 0.5000], [0.0000, 0.0000, 0.7884], [0.0000, 0.0000, 0.2116], [0.5000, 0.5000, 0.0000]], "sg": "P4/mmm (123)", "volume_a3_per_cell": 121.23, "dos_ef_per_ev_fu": 2.5}



## B
{"formula": "AcGePb2", "functional": "PBE", "state": "relaxed", "lattice_angstrom": [[5.1613, 0.0000, 0.0000], [0.0000, 4.8036, 0.0000], [0.0000, 0.0000, 4.8036]], "species": ["Pb", "Pb", "Ac", "Ge"], "fractional_positions": [[0.0000, 0.0000, 0.5000], [0.0000, 0.5000, 0.0000], [0.5000, 0.5000, 0.5000], [0.5000, 0.0000, 0.0000]], "sg": "P4/mmm (123)", "volume_a3_per_cell": 119.10, "dos_ef_per_ev_fu": 2.4}



Which structure is the most stable? The one labeled B.



## A
{"formula": "Ac3Ge2Pb", "functional": "PBE", "state": "relaxed", "lattice_angstrom": [[0.6162, 4.2350, -2.3283], [1.6982, -2.2150, -3.5795], [-8.3509, -2.8096, -2.2233]], "species": ["Ge", "Ge", "Ac", "Ac", "Ac", "Pb"], "fractional_positions": [[0.1463, 0.5000, 0.2926], [0.8537, 0.5000, 0.7074], [0.6739, 0.0000, 0.3479], [0.3261, 0.0000, 0.6521], [0.5000, 0.5000, 0.0000], [0.0000, 0.0000, 0.0000]], "sg": "Cmmm (65)", "volume_a3_per_cell": 193.60, "dos_ef_per_ev_fu": 2.9}



## B
{"formula": "Ac3Ge2Pb", "functional": "PBE", "state": "relaxed", "lattice_angstrom": [[8.4001, 0.7660, 0.5969], [3.4402, 7.7016, 0.5969], [3.4402, 2.4602, 7.3224]], "species": ["Ac", "Ac", "Ac", "Ac", "Ac", "Ac", "Ge", "Ge", "Ge", "Ge", "Pb", "Pb"], "fractional_positions": [[0.4466, 0.0534, 0.7500], [0.7500, 0.4466, 0.0534], [0.0534, 0.7500, 0.4466], [0.9466, 0.2500, 0.5534], [0.5534, 0.9466, 0.2500], [0.2500, 0.5534, 0.9466], [0.6528, 0.6528, 0.6528], [0.8472, 0.8472, 0.8472], [0.3472, 0.3472, 0.3472], [0.1528, 0.1528, 0.1528], [0.0000, 0.0000, 0.0000], [0.5000, 0.5000, 0.5000]], "sg": "R-3c (167)", "volume_a3_per_cell": 432.90, "dos_ef_per_ev_fu": 5.6}



Which structure is the most stable? The one labeled B.